Material: AcNdMo2O8
Method: DFT, GGA+U
State: optimized geometry

For the total energy, the calculation gives -7.682 eV per atom. The total magnetization is 4.0 Bohr magnetons per cell.

a b c (Å): 5.4806 5.4806 11.8621
angles (deg): 90.00 90.00 90.00
Space group I-4 (No. 82)
Asymmetric unit:
1 Ac 0.0000 0.0000 0.0000 [2 per cell]
2 Nd 0.0000 0.5000 0.7500 [2 per cell]
3 Mo 0.0000 0.0000 0.5000 [2 per cell]
4 Mo 0.0000 0.5000 0.2500 [2 per cell]
5 O 0.1450 0.2572 0.5810 [8 per cell]
6 O 0.1642 0.7510 0.1731 [8 per cell]